# Mg2CdTc

Mg2CdTc at its PBEsol-relaxed geometry (meta-GGA SCAN, Alexandria via LeMat-Bulk).

Spin magnetization, μB/f.u.: 0.8
Total DFT energy (no corrections), eV per atom: -18.599
Energy of formation from the pure elements, eV/atom: 0.256

Cell lengths 2.9355, 2.9355, 29.2060 Å; angles 90.00, 90.00, 120.00 degrees
Space group R3m (No. 160, hexagonal axes)
Inequivalent atoms, fractional coordinates:
1 Mg 0.0000 0.0000 0.0000 [3 per cell]
2 Mg 0.0000 0.0000 0.2417 [3 per cell]
3 Cd 0.0000 0.0000 0.4880 [3 per cell]
4 Tc 0.0000 0.0000 0.7418 [3 per cell]